No. 1
# PBE BaCaSb2, relaxed
# - formation energy without anion corrections (eV/atom) = -0.72
# - E (eV for the cell shown) = -30.073
# - magnetic moment (μB/atom) = 0.000
# - E above lowest polymorph (eV/atom) = 0.127
data_BaCaSb2
_symmetry_space_group_name_H-M 'I m m 2'
_symmetry_Int_Tables_number 44
_cell_length_a 4.262
_cell_length_b 4.842
_cell_length_c 14.260
_cell_angle_alpha 90.00
_cell_angle_beta 90.00
_cell_angle_gamma 90.00
loop_
_symmetry_equiv_pos_as_xyz
'x,y,z'
'-x,-y,z'
'-x,y,z'
'x,-y,z'
'x+1/2,y+1/2,z+1/2'
'-x+1/2,-y+1/2,z+1/2'
'-x+1/2,y+1/2,z+1/2'
'x+1/2,-y+1/2,z+1/2'
loop_
_atom_site_label
_atom_site_fract_x
_atom_site_fract_y
_atom_site_fract_z
Ba1 0.000 0.000 0.000
Ca1 0.000 0.500 0.755
Sb1 0.000 0.000 0.601
Sb2 0.000 0.500 0.282

---

No. 2
# PBE BaCa2Sb, relaxed
# - formation energy without anion corrections (eV/atom) = -0.52
# - E (eV for the cell shown) = -12.118
# - magnetic moment (μB/atom) = 0.000
data_BaCa2Sb
_symmetry_space_group_name_H-M 'P 4 m m'
_symmetry_Int_Tables_number 99
_cell_length_a 4.370
_cell_length_b 4.370
_cell_length_c 8.222
_cell_angle_alpha 90.00
_cell_angle_beta 90.00
_cell_angle_gamma 90.00
loop_
_symmetry_equiv_pos_as_xyz
'x,y,z'
'-y,x,z'
'-x,-y,z'
'y,-x,z'
'-x,y,z'
'y,x,z'
'x,-y,z'
'-y,-x,z'
loop_
_atom_site_label
_atom_site_fract_x
_atom_site_fract_y
_atom_site_fract_z
Ba1 0.000 0.000 0.000
Ca1 0.000 0.000 0.592
Ca2 0.500 0.500 0.345
Sb1 0.500 0.500 0.750

---

No. 3
# PBE BaCaSb2, relaxed
# - formation energy without anion corrections (eV/atom) = -0.74
# - E (eV for the cell shown) = -30.274
# - magnetic moment (μB/atom) = 0.000
# - E above lowest polymorph (eV/atom) = 0.101
data_BaCaSb2
_symmetry_space_group_name_H-M 'C 1 m 1'
_symmetry_Int_Tables_number 8
_cell_length_a 13.045
_cell_length_b 3.612
_cell_length_c 5.897
_cell_angle_alpha 90.00
_cell_angle_beta 90.26
_cell_angle_gamma 90.00
loop_
_symmetry_equiv_pos_as_xyz
'x,y,z'
'x,-y,z'
'x+1/2,y+1/2,z'
'x+1/2,-y+1/2,z'
loop_
_atom_site_label
_atom_site_fract_x
_atom_site_fract_y
_atom_site_fract_z
Ba1 0.000 0.000 0.000
Ca1 0.261 0.500 0.501
Sb1 0.262 0.000 0.001
Sb2 0.497 0.000 0.500

---

No. 4
# PBE BaCaSb2, relaxed
# - formation energy without anion corrections (eV/atom) = -0.84
# - E (eV for the cell shown) = -15.543
# - magnetic moment (μB/atom) = 0.000
# - E above lowest polymorph (eV/atom) = 0.000
data_BaCaSb2
_symmetry_space_group_name_H-M 'P 4/m m m'
_symmetry_Int_Tables_number 123
_symmetry_space_group_name_Hall '-P 4 2'
_cell_length_a 4.275
_cell_length_b 4.275
_cell_length_c 7.289
_cell_angle_alpha 90.00
_cell_angle_beta 90.00
_cell_angle_gamma 90.00
loop_
_atom_site_label
_atom_site_fract_x
_atom_site_fract_y
_atom_site_fract_z
Ba1 0.000 0.000 0.000
Ca1 0.000 0.000 0.500
Sb1 0.500 0.500 0.290

---

No. 5
# PBE BaCa2Sb, relaxed
# - formation energy without anion corrections (eV/atom) = -0.41
# - E (eV for the cell shown) = -46.676
# - magnetic moment (μB/atom) = 0.000
data_BaCa2Sb
_symmetry_space_group_name_H-M 'I -4 2 d'
_symmetry_Int_Tables_number 122
_symmetry_space_group_name_Hall 'I -4 2bw'
_cell_length_a 10.121
_cell_length_b 10.121
_cell_length_c 7.116
_cell_angle_alpha 90.00
_cell_angle_beta 90.00
_cell_angle_gamma 90.00
loop_
_atom_site_label
_atom_site_fract_x
_atom_site_fract_y
_atom_site_fract_z
Ba1 0.000 0.000 0.000
Ca1 0.164 0.250 0.625
Sb1 0.000 0.000 0.500

---

No. 6
# PBE BaCaSb, relaxed
# - formation energy without anion corrections (eV/atom) = -0.22
# - E (eV for the cell shown) = -34.779
# - magnetic moment (μB/atom) = 0.000
data_BaCaSb
_symmetry_space_group_name_H-M 'F -4 3 m'
_symmetry_Int_Tables_number 216
_symmetry_space_group_name_Hall 'F -4 2 3'
_cell_length_a 8.033
_cell_length_b 8.033
_cell_length_c 8.033
_cell_angle_alpha 90.00
_cell_angle_beta 90.00
_cell_angle_gamma 90.00
loop_
_atom_site_label
_atom_site_fract_x
_atom_site_fract_y
_atom_site_fract_z
Ba1 0.000 0.000 0.000
Ca1 0.250 0.250 0.250
Sb1 0.250 0.250 0.750

---

No. 7
# PBE Ba2Ca2Sb2Se, relaxed
# - formation energy without anion corrections (eV/atom) = -1.27
# - E (eV for the cell shown) = -56.925
# - magnetic moment (μB/atom) = 0.000
data_Ba2Ca2Sb2Se
_symmetry_space_group_name_H-M 'I 4/m m m'
_symmetry_Int_Tables_number 139
_symmetry_space_group_name_Hall '-I 4 2'
_cell_length_a 5.388
_cell_length_b 5.388
_cell_length_c 18.197
_cell_angle_alpha 90.00
_cell_angle_beta 90.00
_cell_angle_gamma 90.00
loop_
_atom_site_label
_atom_site_fract_x
_atom_site_fract_y
_atom_site_fract_z
Ba1 0.000 0.000 0.177
Ca1 0.000 0.500 0.000
Sb1 0.000 0.000 0.374
Se1 0.000 0.000 0.000

---

No. 8
# PBE BaCaSnSb2, relaxed
# - formation energy without anion corrections (eV/atom) = -0.64
# - E (eV for the cell shown) = -77.454
# - magnetic moment (μB/atom) = 0.000
data_BaCaSnSb2
_symmetry_space_group_name_H-M 'C m m e'
_symmetry_Int_Tables_number 67
_symmetry_space_group_name_Hall '-C 2a 2'
_cell_length_a 6.991
_cell_length_b 15.181
_cell_length_c 6.514
_cell_angle_alpha 90.00
_cell_angle_beta 90.00
_cell_angle_gamma 90.00
loop_
_atom_site_label
_atom_site_fract_x
_atom_site_fract_y
_atom_site_fract_z
Ba1 0.000 0.250 0.219
Ca1 0.250 0.000 0.500
Sn1 0.000 0.000 0.000
Sb1 0.000 0.153 0.715

---

What is the E in the fourth record? -15.543 eV for the cell shown